Entry 1:
Material: KMg3Ir
Method: DFT, GGA-PBE
State: optimized geometry

The calculation puts the magnetization at 0.00 μB/f.u. For the volume, the calculation gives 132.8 Å³/cell. The calculation puts the energy above the most stable polymorph in this dataset at 1990.9 meV per atom. The calculation puts the energy of formation from the pure elements at 1.88 eV/atom. As for the density of states at the Fermi level: 4.3 states/eV/cell.

Geometry as CIF:
```
data_KMg3Ir
_symmetry_space_group_name_H-M 'P m -3 m'
_symmetry_Int_Tables_number 221
_symmetry_space_group_name_Hall '-P 4 2 3'
_cell_length_a 5.1021
_cell_length_b 5.1021
_cell_length_c 5.1021
_cell_angle_alpha 90.00
_cell_angle_beta 90.00
_cell_angle_gamma 90.00
loop_
_atom_site_label
_atom_site_type_symbol
_atom_site_fract_x
_atom_site_fract_y
_atom_site_fract_z
_atom_site_occupancy
K1 K 0.0000 0.0000 0.0000 1
Mg1 Mg 0.0000 0.0000 0.5000 1
Ir1 Ir 0.5000 0.5000 0.5000 1
```

---

Entry 2:
Material: Mn3ZnB
Method: DFT, GGA-PBE
State: optimized geometry

The calculation puts the magnetization at 8.02 μB/f.u. For the volume, the calculation gives 62.4 Å³/cell. The calculation puts the energy above the most stable polymorph in this dataset at 0.0 meV per atom. The calculation puts the energy of formation from the pure elements at 0.04 eV/atom. As for the density of states at the Fermi level: 1.9 states/eV/cell.

Geometry as CIF:
```
data_Mn3ZnB
_symmetry_space_group_name_H-M 'P m -3 m'
_symmetry_Int_Tables_number 221
_symmetry_space_group_name_Hall '-P 4 2 3'
_cell_length_a 3.9668
_cell_length_b 3.9668
_cell_length_c 3.9668
_cell_angle_alpha 90.00
_cell_angle_beta 90.00
_cell_angle_gamma 90.00
loop_
_atom_site_label
_atom_site_type_symbol
_atom_site_fract_x
_atom_site_fract_y
_atom_site_fract_z
_atom_site_occupancy
Mn1 Mn 0.0000 0.0000 0.5000 1
Zn1 Zn 0.5000 0.5000 0.5000 1
B1 B 0.0000 0.0000 0.0000 1
```

---

Entry 3:
Material: Rb2ReS5
Method: DFT, GGA-PBE
State: optimized geometry

The calculation puts the magnetization at 1.06 μB/f.u. For the volume, the calculation gives 270.9 Å³/cell. As for the uncorrected formation energy: -605 meV per atom. As for the density of states at the Fermi level: 1.4 states/eV/cell.

Geometry as CIF:
```
data_Rb2ReS5
_symmetry_space_group_name_H-M 'P 1'
_symmetry_Int_Tables_number 1
_symmetry_space_group_name_Hall 'P 1'
_cell_length_a 7.0666
_cell_length_b 7.0774
_cell_length_c 7.3365
_cell_angle_alpha 118.16
_cell_angle_beta 92.70
_cell_angle_gamma 117.25
loop_
_atom_site_label
_atom_site_type_symbol
_atom_site_fract_x
_atom_site_fract_y
_atom_site_fract_z
_atom_site_occupancy
Rb1 Rb 0.0000 0.0000 0.0000 1
Rb2 Rb 0.4936 0.9714 0.4685 1
Re1 Re 0.8038 0.5366 0.3449 1
S1 S 0.0219 0.5184 0.5447 1
S2 S 0.5015 0.4633 0.4489 1
S3 S 0.5850 0.1262 0.0022 1
S4 S 0.8686 0.4110 0.0002 1
S5 S 0.9816 0.9409 0.4461 1
```

---

Entry 4:
Material: AcUIn2O8
Method: DFT, GGA-PBE
State: optimized geometry

The calculation puts the magnetization at 0.30 μB/f.u. For the volume, the calculation gives 365.7 Å³/cell. As for the uncorrected formation energy: -2301 meV per atom. As for the density of states at the Fermi level: 10.4 states/eV/cell.

Geometry as CIF:
```
data_AcUIn2O8
_symmetry_space_group_name_H-M 'C m m m'
_symmetry_Int_Tables_number 65
_symmetry_space_group_name_Hall '-C 2 2'
_cell_length_a 7.0348
_cell_length_b 7.1134
_cell_length_c 7.3080
_cell_angle_alpha 90.00
_cell_angle_beta 90.00
_cell_angle_gamma 90.00
loop_
_atom_site_label
_atom_site_type_symbol
_atom_site_fract_x
_atom_site_fract_y
_atom_site_fract_z
_atom_site_occupancy
Ac1 Ac 0.0000 0.0000 0.0000 1
U1 U 0.0000 0.0000 0.5000 1
In1 In 0.0000 0.5000 0.2653 1
O1 O 0.0000 0.2979 0.5000 1
O2 O 0.0000 0.3344 0.0000 1
O3 O 0.1937 0.0000 0.2848 1
```

---

Entry 5:
Material: ZnGa3Pd
Method: DFT, GGA-PBE
State: optimized geometry

The calculation puts the magnetization at 0.00 μB/f.u. For the volume, the calculation gives 347.7 Å³/cell. The calculation puts the energy above the most stable polymorph in this dataset at 0.0 meV per atom. The calculation puts the energy of formation from the pure elements at -0.20 eV/atom. As for the density of states at the Fermi level: 5.4 states/eV/cell.

Geometry as CIF:
```
data_ZnGa3Pd
_symmetry_space_group_name_H-M 'C m c m'
_symmetry_Int_Tables_number 63
_symmetry_space_group_name_Hall '-C 2c 2'
_cell_length_a 4.0556
_cell_length_b 8.3479
_cell_length_c 10.2699
_cell_angle_alpha 90.00
_cell_angle_beta 90.00
_cell_angle_gamma 90.00
loop_
_atom_site_label
_atom_site_type_symbol
_atom_site_fract_x
_atom_site_fract_y
_atom_site_fract_z
_atom_site_occupancy
Zn1 Zn 0.0000 0.0000 0.0000 1
Ga1 Ga 0.0000 0.3133 0.1000 1
Ga2 Ga 0.0000 0.3616 0.7500 1
Pd1 Pd 0.0000 0.0513 0.7500 1
```

---

Entry 6:
Material: BaFeRe
Method: DFT, GGA-PBE
State: optimized geometry

The calculation puts the magnetization at 3.28 μB/f.u. For the volume, the calculation gives 292.6 Å³/cell. The calculation puts the energy above the most stable polymorph in this dataset at 956.7 meV per atom. The calculation puts the energy of formation from the pure elements at 1.66 eV/atom. As for the density of states at the Fermi level: 23.0 states/eV/cell.

Geometry as CIF:
```
data_BaFeRe
_symmetry_space_group_name_H-M 'F -4 3 m'
_symmetry_Int_Tables_number 216
_symmetry_space_group_name_Hall 'F -4 2 3'
_cell_length_a 6.6388
_cell_length_b 6.6388
_cell_length_c 6.6388
_cell_angle_alpha 90.00
_cell_angle_beta 90.00
_cell_angle_gamma 90.00
loop_
_atom_site_label
_atom_site_type_symbol
_atom_site_fract_x
_atom_site_fract_y
_atom_site_fract_z
_atom_site_occupancy
Ba1 Ba 0.0000 0.0000 0.0000 1
Fe1 Fe 0.0000 0.0000 0.5000 1
Re1 Re 0.2500 0.2500 0.2500 1
```

---

Entry 7:
Material: Co2P
Method: DFT, GGA-PBE
State: optimized geometry

The calculation puts the magnetization at 1.19 μB/f.u. For the volume, the calculation gives 132.0 Å³/cell. The calculation puts the energy of formation from the pure elements at -0.15 eV/atom. As for the density of states at the Fermi level: 12.7 states/eV/cell.

Geometry as CIF:
```
data_Co2P
_symmetry_space_group_name_H-M 'C m c m'
_symmetry_Int_Tables_number 63
_symmetry_space_group_name_Hall '-C 2c 2'
_cell_length_a 2.6415
_cell_length_b 14.3769
_cell_length_c 3.4764
_cell_angle_alpha 90.00
_cell_angle_beta 90.00
_cell_angle_gamma 90.00
loop_
_atom_site_label
_atom_site_type_symbol
_atom_site_fract_x
_atom_site_fract_y
_atom_site_fract_z
_atom_site_occupancy
Co1 Co 0.0000 0.0652 0.2500 1
Co2 Co 0.0000 0.2870 0.7500 1
P1 P 0.0000 0.3841 0.2500 1
```

---

Entry 8:
Material: InRu2Rh
Method: DFT, GGA-PBE
State: optimized geometry

The calculation puts the magnetization at 0.00 μB/f.u. For the volume, the calculation gives 187.3 Å³/cell. The calculation puts the energy of formation from the pure elements at 0.20 eV/atom. As for the density of states at the Fermi level: 19.5 states/eV/cell.

Geometry as CIF:
```
data_InRu2Rh
_symmetry_space_group_name_H-M 'R 3 m'
_symmetry_Int_Tables_number 160
_symmetry_space_group_name_Hall 'R 3 -2"'
_cell_length_a 2.8575
_cell_length_b 2.8575
_cell_length_c 26.4862
_cell_angle_alpha 90.00
_cell_angle_beta 90.00
_cell_angle_gamma 120.00
loop_
_atom_site_label
_atom_site_type_symbol
_atom_site_fract_x
_atom_site_fract_y
_atom_site_fract_z
_atom_site_occupancy
In1 In 0.0000 0.0000 0.0000 1
Ru1 Ru 0.0000 0.0000 0.2445 1
Ru2 Ru 0.0000 0.0000 0.5013 1
Rh1 Rh 0.0000 0.0000 0.7523 1
```

---

Entry 9:
Material: YPd12Pb3
Method: DFT, GGA-PBE
State: optimized geometry

The calculation puts the magnetization at 0.00 μB/f.u. For the volume, the calculation gives 278.9 Å³/cell. The calculation puts the energy of formation from the pure elements at -0.43 eV/atom. As for the density of states at the Fermi level: 3.9 states/eV/cell.

Geometry as CIF:
```
data_YPd12Pb3
_symmetry_space_group_name_H-M 'P 4/m m m'
_symmetry_Int_Tables_number 123
_symmetry_space_group_name_Hall '-P 4 2'
_cell_length_a 4.1183
_cell_length_b 4.1183
_cell_length_c 16.4448
_cell_angle_alpha 90.00
_cell_angle_beta 90.00
_cell_angle_gamma 90.00
loop_
_atom_site_label
_atom_site_type_symbol
_atom_site_fract_x
_atom_site_fract_y
_atom_site_fract_z
_atom_site_occupancy
Y1 Y 0.0000 0.0000 0.0000 1
Pd1 Pd 0.0000 0.5000 0.1263 1
Pd2 Pd 0.0000 0.5000 0.3752 1
Pd3 Pd 0.5000 0.5000 0.0000 1
Pd4 Pd 0.5000 0.5000 0.2514 1
Pd5 Pd 0.5000 0.5000 0.5000 1
Pb1 Pb 0.0000 0.0000 0.2506 1
Pb2 Pb 0.0000 0.0000 0.5000 1
```

---

Entry 10:
Material: LiTc2Au
Method: DFT, GGA-PBE
State: optimized geometry

The calculation puts the magnetization at 0.00 μB/f.u. For the volume, the calculation gives 117.1 Å³/cell. The calculation puts the energy above the most stable polymorph in this dataset at 109.4 meV per atom. The calculation puts the energy of formation from the pure elements at 0.15 eV/atom. As for the density of states at the Fermi level: 5.5 states/eV/cell.

Geometry as CIF:
```
data_LiTc2Au
_symmetry_space_group_name_H-M 'I m m m'
_symmetry_Int_Tables_number 71
_symmetry_space_group_name_Hall '-I 2 2'
_cell_length_a 3.6028
_cell_length_b 3.6263
_cell_length_c 8.9606
_cell_angle_alpha 90.00
_cell_angle_beta 90.00
_cell_angle_gamma 90.00
loop_
_atom_site_label
_atom_site_type_symbol
_atom_site_fract_x
_atom_site_fract_y
_atom_site_fract_z
_atom_site_occupancy
Li1 Li 0.0000 0.0000 0.0000 1
Tc1 Tc 0.0000 0.5000 0.2502 1
Au1 Au 0.0000 0.0000 0.5000 1
```

---

Entry 11:
Material: SrSN3
Method: DFT, GGA-PBE
State: optimized geometry

The calculation puts the magnetization at 0.00 μB/f.u. For the volume, the calculation gives 613.2 Å³/cell. As for the uncorrected formation energy: -699 meV per atom.

Geometry as CIF:
```
data_SrSN3
_symmetry_space_group_name_H-M 'C 1 2/m 1'
_symmetry_Int_Tables_number 12
_symmetry_space_group_name_Hall '-C 2y'
_cell_length_a 36.4167
_cell_length_b 4.1014
_cell_length_c 4.1274
_cell_angle_alpha 90.00
_cell_angle_beta 95.91
_cell_angle_gamma 90.00
loop_
_atom_site_label
_atom_site_type_symbol
_atom_site_fract_x
_atom_site_fract_y
_atom_site_fract_z
_atom_site_occupancy
Sr1 Sr 0.0943 0.0000 0.1315 1
S1 S 0.0939 0.5000 0.6312 1
N1 N 0.0153 0.0000 0.0244 1
N2 N 0.1936 0.5000 0.2126 1
N3 N 0.2243 0.5000 0.2272 1
```

---

Entry 12:
Material: InPb2I
Method: DFT, GGA-PBE
State: optimized geometry

The calculation puts the magnetization at 0.00 μB/f.u. For the volume, the calculation gives 127.9 Å³/cell. The calculation puts the energy above the most stable polymorph in this dataset at 0.0 meV per atom. As for the uncorrected formation energy: -57 meV per atom. As for the density of states at the Fermi level: 1.7 states/eV/cell.

Geometry as CIF:
```
data_InPb2I
_symmetry_space_group_name_H-M 'P 4/m m m'
_symmetry_Int_Tables_number 123
_symmetry_space_group_name_Hall '-P 4 2'
_cell_length_a 3.7615
_cell_length_b 3.7615
_cell_length_c 9.0405
_cell_angle_alpha 90.00
_cell_angle_beta 90.00
_cell_angle_gamma 90.00
loop_
_atom_site_label
_atom_site_type_symbol
_atom_site_fract_x
_atom_site_fract_y
_atom_site_fract_z
_atom_site_occupancy
In1 In 0.0000 0.0000 0.0000 1
Pb1 Pb 0.5000 0.5000 0.2307 1
I1 I 0.0000 0.0000 0.5000 1
```